1.
Ba2SrRu | the Alexandria database | PBE | relaxed; ΔH_f (0 K) = 0.5497 eV per atom; energy above the lowest structure with this stoichiometry = 238.5 meV/atom; electronic total energy = -3.1511 eV per atom; ρ = 3.34 Mg/m³; size of the total moment = 0.00 μB/cell
1.0
8.738 0.000 0.000
0.000 8.738 0.000
0.000 0.000 12.080
Ba Sr Ru
8 4 4
Cartesian
0.390 2.184 1.510 Ba
2.184 4.759 4.530 Ba
2.184 8.348 10.570 Ba
3.979 2.184 7.550 Ba
4.759 6.553 7.550 Ba
6.553 0.390 10.570 Ba
6.553 3.979 4.530 Ba
8.348 6.553 1.510 Ba
0.000 0.000 6.040 Sr
0.000 4.369 9.060 Sr
4.369 0.000 3.020 Sr
4.369 4.369 0.000 Sr
0.000 0.000 0.000 Ru
0.000 4.369 3.020 Ru
4.369 0.000 9.060 Ru
4.369 4.369 6.040 Ru

---

2.
Dy3Sn2Pb | the Alexandria database | PBE | relaxed; ΔH_f (0 K) = -0.5908 eV per atom; energy above the lowest structure with this stoichiometry = 18.4 meV/atom; electronic total energy = -4.8442 eV per atom; ρ = 9.41 Mg/m³; size of the total moment = 0.00 μB/cell
1.0
8.389 -3.166 0.000
8.389 3.166 0.000
-1.182 0.000 6.194
Dy Sn Pb
6 4 2
Cartesian
7.502 2.421 4.646 Dy
5.065 0.757 2.494 Dy
4.474 -0.757 5.591 Dy
11.121 0.757 0.603 Dy
10.530 -0.757 3.700 Dy
8.093 -2.421 1.549 Dy
2.675 0.702 0.450 Sn
2.084 -0.702 3.547 Sn
13.511 0.702 2.647 Sn
12.920 -0.702 5.744 Sn
8.093 0.733 1.549 Pb
7.502 -0.733 4.646 Pb